No. 1
# Mn2NiPtN

A relaxed Mn2NiPtN crystal (GGA-PBE, Alexandria via LeMat-Bulk).

Summary:
- Space-group type: P4/mmm, No. 123
- Magnetic moment: 1.477 μB/atom

Structure (POSCAR):
```
Mn2NiPtN
1.0
-2.760 -0.485 2.791
2.210 -2.807 1.698
1.707 2.643 2.147
Ni Pt N Mn
1 1 1 2
Cartesian
0.853 1.322 1.074
0.578 -0.324 3.318
0.000 0.000 0.000
-1.380 -0.243 1.396
1.105 -1.403 0.849
```

No. 2
# Mn2ReNiN

A relaxed Mn2ReNiN crystal (GGA-PBE, Alexandria via LeMat-Bulk).

Summary:
- Space-group type: P4/mmm, No. 123
- Magnetic moment: 0.851 μB/atom

Structure (POSCAR):
```
Mn2ReNiN
1.0
-3.274 1.327 -1.447
-1.350 -3.564 -0.214
-1.481 0.341 3.663
Mn Re N Ni
2 1 1 1
Cartesian
-1.637 0.663 -0.723
-0.675 -1.782 -0.107
-0.740 0.170 1.831
0.000 0.000 0.000
-3.052 -0.949 1.001
```

Number 1: raw total energy -39.87 eV per cell. Number 2: raw total energy -44.82 eV per cell.